Record 1
# PrTeAs GGA-PBE optimized geometry
# energy	-55.73	eV/cell
# crystal system	cubic
# volume	94.3	Å³/f.u.
data_PrTeAs
_cell_length_a 7.2260
_cell_length_b 7.2260
_cell_length_c 7.2260
_cell_angle_alpha 90.00
_cell_angle_beta 90.00
_cell_angle_gamma 90.00
_symmetry_space_group_name_H-M 'F -4 3 m'
_symmetry_Int_Tables_number 216
_symmetry_space_group_name_Hall 'F -4 2 3'
loop_
_atom_site_label
_atom_site_type_symbol
_atom_site_fract_x
_atom_site_fract_y
_atom_site_fract_z
Pr1 Pr 0.0000 0.0000 0.0000
Te1 Te 0.2500 0.2500 0.7500
As1 As 0.0000 0.0000 0.5000

---

Record 2
# CoGeIrAu GGA-PBE optimized geometry
# crystal system	cubic
# distance to the lowest polymorph of the same formula	0.000	eV per formula unit
# volume	59.0	Å³/f.u.
data_CoGeIrAu
_cell_length_a 6.1802
_cell_length_b 6.1802
_cell_length_c 6.1802
_cell_angle_alpha 90.00
_cell_angle_beta 90.00
_cell_angle_gamma 90.00
_symmetry_space_group_name_H-M 'F -4 3 m'
_symmetry_Int_Tables_number 216
_symmetry_space_group_name_Hall 'F -4 2 3'
loop_
_atom_site_label
_atom_site_type_symbol
_atom_site_fract_x
_atom_site_fract_y
_atom_site_fract_z
Co1 Co 0.0000 0.0000 0.0000
Ge1 Ge 0.2500 0.2500 0.7500
Ir1 Ir 0.0000 0.0000 0.5000
Au1 Au 0.2500 0.2500 0.2500

---

Magnetization readings, ordered: 0.01 4.54 Bohr magnetons per cell